{
  "formula": "Pm5Y4Pu",
  "functional": "PBE",
  "state": "optimized geometry",
  "formation_enthalpy_0k_ev_per_atom": 0.0671,
  "sg": "C2/m (12)",
  "total_magnetization_mub_per_cell": 6.1,
  "lattice_angstrom": [[3.444, 0.000, -0.848], [-0.528, 11.315, -2.142], [0.300, -1.176, 8.635]],
  "species": ["Pm", "Pm", "Pm", "Pm", "Pm", "Y", "Y", "Y", "Y", "Pu"],
  "frac_coords": [[0.500, 0.500, 0.000], [0.790, 0.386, 0.580], [0.813, 0.922, 0.626], [0.210, 0.614, 0.420], [0.187, 0.078, 0.374], [0.605, 0.799, 0.210], [0.083, 0.289, 0.167], [0.395, 0.201, 0.790], [0.917, 0.711, 0.833], [0.500, 0.000, 0.000]]
}



{
  "formula": "Li3AlIn",
  "functional": "PBE",
  "state": "optimized geometry",
  "formation_enthalpy_0k_ev_per_atom": 0.2750,
  "sg": "Pm-3m (221)",
  "e_above_lowest_polymorph_kj_per_mol_fu": 243,
  "total_magnetization_mub_per_cell": 0.0,
  "lattice_angstrom": [[-3.237, 3.663, 0.695], [-3.321, -3.251, 1.669], [1.696, 0.626, 4.595]],
  "species": ["In", "Al", "Li", "Li", "Li"],
  "frac_coords": [[0.500, 0.500, 0.500], [0.000, 0.000, 0.000], [0.000, 0.000, 0.500], [0.000, 0.500, 0.000], [0.500, 0.000, 0.000]]
}



{
  "formula": "AcGdLuSc",
  "functional": "PBE",
  "state": "optimized geometry",
  "formation_enthalpy_0k_ev_per_atom": 0.0991,
  "sg": "F-43m (216)",
  "total_magnetization_mub_per_cell": 7.4,
  "lattice_angstrom": [[-0.396, 4.915, 2.825], [-1.448, 0.010, 5.496], [3.862, 1.324, 3.954]],
  "species": ["Ac", "Sc", "Lu", "Gd"],
  "frac_coords": [[0.250, 0.250, 0.250], [0.000, 0.000, 0.000], [0.500, 0.500, 0.500], [0.750, 0.750, 0.750]]
}



{
  "formula": "InBiCl2",
  "functional": "PBE",
  "state": "optimized geometry",
  "sg": "C2/c (15)",
  "e_above_lowest_polymorph_kj_per_mol_fu": 0,
  "total_magnetization_mub_per_cell": 0.0,
  "lattice_angstrom": [[3.484, 0.000, -0.854], [-0.478, 6.608, -1.951], [0.662, 0.300, 10.233]],
  "species": ["Cl", "Cl", "Cl", "Cl", "In", "In", "Bi", "Bi"],
  "frac_coords": [[0.379, 0.526, 0.344], [0.979, 0.026, 0.344], [0.706, 0.311, 0.798], [0.106, 0.811, 0.798], [0.542, 0.919, 0.571], [0.042, 0.419, 0.571], [0.042, 0.419, 0.071], [0.042, 0.919, 0.071]]
}



{
  "formula": "ZrMo2Cl",
  "functional": "PBE",
  "state": "optimized geometry",
  "sg": "P4mm (99)",
  "e_above_lowest_polymorph_kj_per_mol_fu": 22,
  "total_magnetization_mub_per_cell": 0.0,
  "lattice_angstrom": [[3.164, 0.000, 0.000], [0.000, 3.164, 0.000], [0.000, 0.000, 7.981]],
  "species": ["Cl", "Mo", "Mo", "Zr"],
  "frac_coords": [[0.500, 0.500, 0.708], [0.000, 0.000, 0.074], [0.500, 0.500, 0.241], [0.000, 0.000, 0.477]]
}



{
  "formula": "CaNbVIr2",
  "functional": "PBE",
  "state": "optimized geometry",
  "formation_enthalpy_0k_ev_per_atom": -0.4097,
  "sg": "I-4m2 (119)",
  "total_magnetization_mub_per_cell": 0.0,
  "lattice_angstrom": [[-2.446, 1.051, 3.453], [0.482, -4.039, 1.571], [5.252, 3.001, 0.054]],
  "species": ["Ca", "Ir", "Ir", "Nb", "V"],
  "frac_coords": [[0.000, 0.000, 0.000], [0.375, 0.375, 0.749], [0.625, 0.625, 0.251], [0.750, 0.250, 0.500], [0.250, 0.750, 0.500]]
}



{
  "formula": "YErMgAu",
  "functional": "PBE",
  "state": "optimized geometry",
  "formation_enthalpy_0k_ev_per_atom": -0.4798,
  "sg": "P4mm (99)",
  "e_above_lowest_polymorph_kj_per_mol_fu": 0,
  "total_magnetization_mub_per_cell": 0.0,
  "lattice_angstrom": [[3.692, 0.000, 0.000], [0.000, 3.692, 0.000], [0.000, 0.000, 7.259]],
  "species": ["Er", "Mg", "Au", "Y"],
  "frac_coords": [[0.000, 0.000, 0.840], [0.500, 0.500, 0.102], [0.500, 0.500, 0.617], [0.000, 0.000, 0.370]]
}



{
  "formula": "KNa2InGe",
  "functional": "PBE",
  "state": "optimized geometry",
  "formation_enthalpy_0k_ev_per_atom": -0.0106,
  "sg": "P4/mmm (123)",
  "total_magnetization_mub_per_cell": 0.0,
  "lattice_angstrom": [[-1.499, 5.342, 1.333], [-2.449, 0.591, -5.120], [-4.819, -1.873, 2.088]],
  "species": ["In", "Ge", "Na", "Na", "K"],
  "frac_coords": [[0.000, 0.000, 0.500], [0.000, 0.000, 0.000], [0.000, 0.500, 0.000], [0.500, 0.000, 0.000], [0.500, 0.500, 0.500]]
}



Q: Which formula does entry 7 have?
A: YErMgAu